No. 1
# La2Se2I (SCAN, single point on PBEsol structure)
data_La2Se2I
_chemical_formula_sum 'La4 Se4 I2'
_cell_length_a 8.421
_cell_length_b 8.421
_cell_length_c 3.886
_cell_angle_alpha 90.00
_cell_angle_beta 90.00
_cell_angle_gamma 90.00
_symmetry_space_group_name_H-M 'P 4/m b m'
_symmetry_Int_Tables_number 127
_symmetry_space_group_name_Hall '-P 4 2ab'
loop_
_atom_site_label
_atom_site_fract_x
_atom_site_fract_y
_atom_site_fract_z
La1 0.153 0.347 0.000
Se1 0.139 0.639 0.500
I1 0.000 0.000 0.000
# Raw formation energy = -2.01 eV/atom
# Energy = -346.29 eV/cell
# DOS(E_F) = 1.097 states/eV/f.u.

***

No. 2
# La5Si5I3 (SCAN, single point on PBEsol structure)
data_La5Si5I3
_chemical_formula_sum 'La20 Si20 I12'
_cell_length_a 23.818
_cell_length_b 4.199
_cell_length_c 15.625
_cell_angle_alpha 90.00
_cell_angle_beta 110.29
_cell_angle_gamma 90.00
_symmetry_space_group_name_H-M 'C 1 2/m 1'
_symmetry_Int_Tables_number 12
loop_
_symmetry_equiv_pos_as_xyz
'x,y,z'
'-x,-y,-z'
'-x,y,-z'
'x,-y,z'
'x+1/2,y+1/2,z'
'-x+1/2,-y+1/2,-z'
'-x+1/2,y+1/2,-z'
'x+1/2,-y+1/2,z'
loop_
_atom_site_label
_atom_site_fract_x
_atom_site_fract_y
_atom_site_fract_z
La1 0.018 0.000 0.290
La2 0.086 0.000 0.563
La3 0.160 0.500 0.057
La4 0.164 0.000 0.834
La5 0.238 0.500 0.331
Si1 0.009 0.500 0.427
Si2 0.076 0.500 0.707
Si3 0.172 0.500 0.682
Si4 0.239 0.000 0.190
Si5 0.250 0.000 0.040
I1 0.060 0.000 0.931
I2 0.092 0.500 0.206
I3 0.173 0.000 0.437
# Raw formation energy = -1.11 eV/atom
# Energy = -1560.89 eV/cell
# DOS(E_F) = 4.713 states/eV/f.u.

***

No. 3
# LaSi2I (SCAN, single point on PBEsol structure)
data_LaSi2I
_chemical_formula_sum 'La4 Si8 I4'
_cell_length_a 7.297
_cell_length_b 7.297
_cell_length_c 7.297
_cell_angle_alpha 90.00
_cell_angle_beta 90.00
_cell_angle_gamma 90.00
_symmetry_space_group_name_H-M 'F m -3 m'
_symmetry_Int_Tables_number 225
_symmetry_space_group_name_Hall '-F 4 2 3'
loop_
_atom_site_label
_atom_site_fract_x
_atom_site_fract_y
_atom_site_fract_z
La1 0.000 0.000 0.000
Si1 0.250 0.250 0.250
I1 0.000 0.000 0.500
# Raw formation energy = 0.47 eV/atom
# Energy = -391.93 eV/cell
# DOS(E_F) = 3.928 states/eV/f.u.

***

No. 4
# La4SiI5 (SCAN, single point on PBEsol structure)
data_La4SiI5
_chemical_formula_sum 'La8 Si2 I10'
_cell_length_a 19.384
_cell_length_b 4.314
_cell_length_c 9.042
_cell_angle_alpha 90.00
_cell_angle_beta 102.83
_cell_angle_gamma 90.00
_symmetry_space_group_name_H-M 'C 1 2/m 1'
_symmetry_Int_Tables_number 12
loop_
_symmetry_equiv_pos_as_xyz
'x,y,z'
'-x,-y,-z'
'-x,y,-z'
'x,-y,z'
'x+1/2,y+1/2,z'
'-x+1/2,-y+1/2,-z'
'-x+1/2,y+1/2,-z'
'x+1/2,-y+1/2,z'
loop_
_atom_site_label
_atom_site_fract_x
_atom_site_fract_y
_atom_site_fract_z
La1 0.001 0.000 0.221
La2 0.153 0.500 0.074
Si1 0.000 0.500 0.000
I1 0.000 0.500 0.500
I2 0.170 0.000 0.342
I3 0.170 0.000 0.816
# Raw formation energy = -1.46 eV/atom
# Energy = -761.43 eV/cell
# DOS(E_F) = 4.315 states/eV/f.u.

***

no.,M_tot (μB/f.u.)
1,0.000
2,0.000
3,0.000
4,0.000